# 1
Computed, not measured: a relaxed structure of LiLa2Pt at the PBE-GGA level of DFT.

It has space group C2/m (No. 12), with a = 7.267 Å, b = 7.268 Å, c = 3.842 Å, α = 90.00°, β = 90.10° and γ = 90.00°. The inequivalent atoms are Li at (0.000, 0.000, 0.000), La at (0.250, 0.250, 0.500) and Pt at (0.000, 0.500, 0.000).

For the calculated volume, the calculation gives 25.4 Å³ per atom. The total magnetization is 0.00 μB/atom. As for the mass density: 7.9 g/cm3. The formation energy is -0.528 eV/atom.

# 2
Computed, not measured: a relaxed structure of LiLa2Pt at the PBE-GGA level of DFT.

It has space group Imm2 (No. 44), with a = 3.702 Å, b = 4.812 Å, c = 11.826 Å, α = 90.00°, β = 90.00° and γ = 90.00°. The inequivalent atoms are Li at (0.000, 0.000, 0.000), La at (0.000, 0.000, 0.610), La at (0.000, 0.500, 0.819) and Pt at (0.000, 0.500, 0.327).

For the calculated volume, the calculation gives 26.3 Å³ per atom. The total magnetization is 0.00 μB/atom. As for the mass density: 7.6 g/cm3. The formation energy is -0.487 eV/atom.

# 3
Computed, not measured: a relaxed structure of LiLa2Pt9 at the PBE-GGA level of DFT.

It has space group R-3m (No. 166, hexagonal axes), with a = 5.4727 Å, b = 5.4727 Å, c = 26.6889 Å, α = 90.00°, β = 90.00° and γ = 120.00°. The inequivalent atoms are Li at (0.0000, 0.0000, 0.0000), La at (0.0000, 0.0000, 0.1353), Pt at (0.0000, 0.0000, 0.3322), Pt at (0.0000, 0.0000, 0.5000) and Pt at (0.0038, 0.5019, 0.9166).

For the calculated volume, the calculation gives 19.2 Å³ per atom. The total magnetization is 0.00 μB/atom. As for the mass density: 14.7 g/cm3. The formation energy is -0.708 eV/atom.